Below is a geometry-optimized Dy4In2N structure, with properties calculated at the PBE level.

a = 8.596 Å, b = 8.596 Å, c = 8.596 Å
α = 147.90°, β = 147.90°, γ = 46.04°
Fractional coordinates of all 7 atoms:
Dy (0.000, 0.500, 0.500)
Dy (0.162, 0.162, 0.000)
Dy (0.500, 0.000, 0.500)
Dy (0.838, 0.838, 0.000)
In (0.363, 0.363, 0.000)
In (0.637, 0.637, 0.000)
N (0.000, 0.000, 0.000)

space group = I4/mmm, No. 139
energy relative to the elements, uncorrected = -0.736 eV/atom
spin magnetization = 0.00 μB per cell